Record 1
Density functional theory data (GGA-PBE) for crystalline NaAl2H8 at its relaxed geometry.

Geometry as POSCAR:
```
NaAl2H8
1.0
-1.070 -1.686 3.730
-0.074 -3.847 -1.760
5.748 2.121 0.209
Al H Na
2 8 1
Cartesian
2.053 -1.166 2.462
2.551 -2.246 -0.283
0.745 -2.299 2.716
3.350 -1.915 1.237
3.347 -0.002 2.284
3.903 -0.901 -0.612
1.292 -1.580 0.732
3.900 1.011 0.435
1.213 -3.621 -0.030
0.666 -4.340 1.954
-0.572 -2.767 0.985
```

**Crystal system**: tetragonal
**Calculated total energy**: -3.05 eV per atom
**V**: 8.71 Å³ per atom

Record 2
Density functional theory data (GGA-PBE) for crystalline NaAlH2 at its relaxed geometry.

Geometry as POSCAR:
```
NaAlH2
1.0
4.612 0.000 0.000
1.122 4.978 0.000
0.191 1.870 5.721
H Al Na
4 2 2
Cartesian
4.090 1.190 0.594
3.015 4.826 4.617
2.002 2.181 3.365
5.334 3.650 0.950
3.033 5.512 3.086
5.343 5.079 1.840
2.996 3.032 1.206
0.839 3.687 4.617
```

**E above lowest polymorph**: 0.013 eV per atom
**Crystal system**: triclinic
**Calculated total energy**: -3.03 eV per atom
**V**: 16.42 Å³ per atom

Record 3
Density functional theory data (GGA-PBE) for crystalline NaAl2H2 at its relaxed geometry.

Geometry as POSCAR:
```
NaAl2H2
1.0
5.806 0.000 0.000
0.000 5.806 0.000
0.000 0.000 3.982
Al H Na
4 4 2
Cartesian
0.970 3.873 1.991
3.873 4.836 1.991
1.933 0.970 1.991
4.836 1.933 1.991
4.851 1.948 0.000
0.954 3.857 0.000
1.948 0.954 0.000
3.857 4.851 0.000
0.000 0.000 0.000
2.903 2.903 0.000
```

**Crystal system**: tetragonal
**Calculated total energy**: -2.91 eV per atom
**V**: 13.42 Å³ per atom